(1)
DFT (GGA-PBE) results for an optimized crystal structure of YPd2Rh.

Cell and atoms, written as CIF:
```
data_YPd2Rh
_chemical_formula_sum 'Y4 Pd8 Rh4'
_space_group_name_H-M_alt 'I -4 2 d'
_space_group_IT_number 122
_space_group_name_Hall 'I -4 2bw'
_cell_length_a 3.950
_cell_length_b 3.950
_cell_length_c 19.339
_cell_angle_alpha 90.00
_cell_angle_beta 90.00
_cell_angle_gamma 90.00
loop_
_atom_site_label
_atom_site_fract_x
_atom_site_fract_y
_atom_site_fract_z
Y1 0.000 0.000 0.000
Pd1 0.234 0.250 0.625
Rh1 0.000 0.000 0.500
```

Values from the calculation:
Calculated total energy (eV/cell): -102.3
Magnetization (μB per atom): 0.000
DOS at the Fermi energy (states/eV per cell): 10.0

(2)
DFT (GGA-PBE) results for an optimized crystal structure of Li3AcHo2Se6.

Cell and atoms, written as CIF:
```
data_Li3AcHo2Se6
_chemical_formula_sum 'Li6 Ac2 Ho4 Se12'
_space_group_name_H-M_alt 'C 1 2/m 1'
_space_group_IT_number 12
_cell_length_a 7.253
_cell_length_b 12.596
_cell_length_c 6.947
_cell_angle_alpha 90.00
_cell_angle_beta 110.03
_cell_angle_gamma 90.00
loop_
_space_group_symop_operation_xyz
'x,y,z'
'-x,-y,-z'
'-x,y,-z'
'x,-y,z'
'x+1/2,y+1/2,z'
'-x+1/2,-y+1/2,-z'
'-x+1/2,y+1/2,-z'
'x+1/2,-y+1/2,z'
loop_
_atom_site_label
_atom_site_fract_x
_atom_site_fract_y
_atom_site_fract_z
Li1 0.000 0.000 0.000
Li2 0.000 0.326 0.000
Ac1 0.000 0.500 0.500
Ho1 0.000 0.166 0.500
Se1 0.230 0.000 0.758
Se2 0.240 0.177 0.246
```

Values from the calculation:
Magnetization (μB per atom): 0.000
Formation energy without anion corrections (eV/atom): -1.681
DOS at the Fermi energy (states/eV per cell): 0.0

(3)
DFT (GGA-PBE) results for an optimized crystal structure of FeP4Os.

Cell and atoms, written as CIF:
```
data_FeP4Os
_chemical_formula_sum 'Fe4 P16 Os4'
_space_group_name_H-M_alt 'F -4 3 m'
_space_group_IT_number 216
_space_group_name_Hall 'F -4 2 3'
_cell_length_a 6.882
_cell_length_b 6.882
_cell_length_c 6.882
_cell_angle_alpha 90.00
_cell_angle_beta 90.00
_cell_angle_gamma 90.00
loop_
_atom_site_label
_atom_site_fract_x
_atom_site_fract_y
_atom_site_fract_z
Fe1 0.000 0.000 0.000
P1 0.126 0.126 0.374
Os1 0.250 0.250 0.750
```

Values from the calculation:
Calculated total energy (eV/cell): -141.9
Magnetization (μB per atom): 0.378
DOS at the Fermi energy (states/eV per cell): 21.2

(4)
DFT (GGA-PBE) results for an optimized crystal structure of Te2HS.

Cell and atoms, written as CIF:
```
data_Te2HS
_chemical_formula_sum 'Te6 H3 S3'
_space_group_name_H-M_alt 'R -3 m'
_space_group_IT_number 166
_space_group_name_Hall '-R 3 2"'
_cell_length_a 3.4596
_cell_length_b 3.4596
_cell_length_c 24.2372
_cell_angle_alpha 90.00
_cell_angle_beta 90.00
_cell_angle_gamma 120.00
loop_
_atom_site_label
_atom_site_fract_x
_atom_site_fract_y
_atom_site_fract_z
Te1 0.0000 0.0000 0.1021
H1 0.0000 0.0000 0.5000
S1 0.0000 0.0000 0.0000
```

Values from the calculation:
Magnetization (μB per atom): 0.000
DOS at the Fermi energy (states/eV per cell): 7.0
Distance to the lowest polymorph of the same formula (eV per atom): 0.194

(5)
DFT (GGA-PBE) results for an optimized crystal structure of CeHgRh.

Cell and atoms, written as CIF:
```
data_CeHgRh
_chemical_formula_sum 'Ce2 Hg2 Rh2'
_space_group_name_H-M_alt 'I 4 m m'
_space_group_IT_number 107
_space_group_name_Hall 'I 4 -2'
_cell_length_a 3.508
_cell_length_b 3.508
_cell_length_c 10.788
_cell_angle_alpha 90.00
_cell_angle_beta 90.00
_cell_angle_gamma 90.00
loop_
_atom_site_label
_atom_site_fract_x
_atom_site_fract_y
_atom_site_fract_z
Ce1 0.000 0.000 0.000
Hg1 0.000 0.000 0.295
Rh1 0.000 0.000 0.634
```

Values from the calculation:
Calculated total energy (eV/cell): -29.6
Magnetization (μB per atom): 0.175
DOS at the Fermi energy (states/eV per cell): 9.6

(6)
DFT (GGA-PBE) results for an optimized crystal structure of Ce3TlPb5.

Cell and atoms, written as CIF:
```
data_Ce3TlPb5
_chemical_formula_sum 'Ce6 Tl2 Pb10'
_space_group_name_H-M_alt 'P 63/m c m'
_space_group_IT_number 193
_space_group_name_Hall '-P 6c 2'
_cell_length_a 9.6533
_cell_length_b 9.6533
_cell_length_c 6.7068
_cell_angle_alpha 90.00
_cell_angle_beta 90.00
_cell_angle_gamma 120.00
loop_
_atom_site_label
_atom_site_fract_x
_atom_site_fract_y
_atom_site_fract_z
Ce1 0.0000 0.3669 0.2500
Tl1 0.0000 0.0000 0.0000
Pb1 0.0000 0.3006 0.7500
Pb2 0.3333 0.6667 0.0000
```

Values from the calculation:
Calculated total energy (eV/cell): -82.1
Magnetization (μB per atom): 0.291
DOS at the Fermi energy (states/eV per cell): 40.6